VASP calculation (PBE) on crystalline AcS6Br2 at its relaxed geometry.

Cell: 4.6812 7.8961 9.4247 Å, 110.94 92.36 91.62°
With the nearest neighbours (Å) after each atom.
Fractional positions:
1 Ac 0.0000 0.0000 0.0000  2 S 3.04, 4 Br 3.05-3.08
2 S 0.9046 0.5004 0.2904  2 S 1.99-2.07
3 S 0.0954 0.4996 0.7096  2 S 1.99-2.07
4 S 0.8965 0.7180 0.6819  1 S 2.07
5 S 0.9134 0.2761 0.5543  1 S 1.99
6 S 0.0866 0.7239 0.4457  1 S 1.99
7 S 0.1035 0.2820 0.3181  1 S 2.07
8 Br 0.4961 0.8139 0.0956  2 Ac 3.05-3.08
9 Br 0.5039 0.1861 0.9044  2 Ac 3.05-3.08

Values from the calculation:
Its uncorrected formation energy is -0.59 eV per atom. The volume comes out at 325 Å³ per cell. The value obtained for the calculated density is 2.962 g/cm3.

---

VASP calculation (PBE) on crystalline AcS8Br2 at its relaxed geometry.

Cell: 9.3351 7.1959 7.1959 Å, 96.21 113.62 113.62°
With the nearest neighbours (Å) after each atom.
Fractional positions:
1 Ac 0.0000 0.0000 0.0000  2 Br 2.92, 4 S 3.14
2 S 0.1094 0.0743 0.6430  1 S 1.99
3 S 0.8906 0.3570 0.9257  1 S 1.99
4 S 0.7750 0.1795 0.1795  1 S 1.96
5 S 0.2250 0.8205 0.8205  1 S 1.96
6 S 0.1094 0.6430 0.0743  1 S 1.99
7 S 0.8906 0.9257 0.3570  1 S 1.99
8 S 0.1462 0.5799 0.5799  2 S 1.96-2.19
9 S 0.8538 0.4201 0.4201  2 S 1.96-2.19
10 Br 0.3905 0.2368 0.2368  1 Ac 2.92
11 Br 0.6095 0.7632 0.7632  1 Ac 2.92

Values from the calculation:
Its uncorrected formation energy is -0.36 eV per atom. The volume comes out at 384 Å³ per cell. The value obtained for the calculated density is 2.779 g/cm3.

---

VASP calculation (PBE) on crystalline AcSBr at its relaxed geometry.

Cell: 5.1172 5.1172 5.1172 Å, 60.00 60.00 60.00°
With the nearest neighbours (Å) after each atom.
Fractional positions:
1 Ac 0.2500 0.2500 0.2500  4 S 3.13, 4 Br 3.13
2 S 0.0000 0.0000 0.0000  4 Ac 3.13
3 Br 0.5000 0.5000 0.5000  4 Ac 3.13

Values from the calculation:
Its uncorrected formation energy is -2.04 eV per atom. As for the excess energy over the best structure of this formula in the dataset: 121 meV/atom. The volume comes out at 95 Å³ per cell. The value obtained for the calculated density is 5.941 g/cm3.